[1]
Ca3CdAu2: relaxed, PBE-GGA.

Cell lengths 3.6516, 3.6516, 11.4745 Å; angles 90.00, 90.00, 90.00 degrees
Positions (direct):
Ca: 0.0000 0.0000 0.0000
Ca: 0.0000 0.0000 0.3153
Ca: 0.0000 0.0000 0.6847
Cd: 0.5000 0.5000 0.5000
Au: 0.5000 0.5000 0.1618
Au: 0.5000 0.5000 0.8382

## Properties
The calculation puts the formation energy from the elements at -0.642 eV/atom. Its space group is No. 123. Its density of states at the Fermi level is 0.74 states/eV/atom.

=====

[2]
Ca2CdAu: relaxed, PBE-GGA.

Cell lengths 4.1582, 4.1582, 24.4678 Å; angles 90.00, 90.00, 120.00 degrees
Positions (direct):
Ca: 0.0000 0.0000 0.0000
Ca: 0.0000 0.0000 0.1894
Ca: 0.3333 0.6667 0.6667
Ca: 0.3333 0.6667 0.8560
Ca: 0.6667 0.3333 0.3333
Ca: 0.6667 0.3333 0.5227
Cd: 0.0000 0.0000 0.4283
Cd: 0.3333 0.6667 0.0950
Cd: 0.6667 0.3333 0.7617
Au: 0.0000 0.0000 0.5943
Au: 0.3333 0.6667 0.2610
Au: 0.6667 0.3333 0.9276

## Properties
The calculation puts the formation energy from the elements at -0.436 eV/atom. Its space group is No. 160. Its density of states at the Fermi level is 0.45 states/eV/atom.

=====

[3]
CaCd2Au6: relaxed, PBE-GGA.

Cell lengths 8.2752, 8.2752, 8.2752 Å; angles 155.54, 124.48, 61.55 degrees
Positions (direct):
Ca: 0.0000 0.0000 0.0000
Cd: 0.3562 0.8562 0.5000
Cd: 0.6438 0.1438 0.5000
Au: 0.0041 0.3230 0.6811
Au: 0.3206 0.5000 0.8206
Au: 0.3581 0.6770 0.6811
Au: 0.6419 0.3230 0.3189
Au: 0.6794 0.5000 0.1794
Au: 0.9959 0.6770 0.3189

## Properties
The polymorph energy (0 for the lowest one) comes out at 10 meV/atom. The calculation puts the formation energy from the elements at -0.285 eV/atom. Its space group is No. 71. Its density of states at the Fermi level is 0.36 states/eV/atom.

=====

[4]
Ca2CdAu: relaxed, PBE-GGA.

Cell lengths 11.6163, 3.5896, 5.3417 Å; angles 90.00, 107.75, 90.00 degrees
Positions (direct):
Ca: 0.0000 0.0000 0.0000
Ca: 0.2029 0.0000 0.6427
Ca: 0.5000 0.5000 0.0000
Ca: 0.7029 0.5000 0.6427
Cd: 0.4388 0.0000 0.4509
Cd: 0.9388 0.5000 0.4509
Au: 0.2338 0.5000 0.1516
Au: 0.7338 0.0000 0.1516

## Properties
The calculation puts the formation energy from the elements at -0.469 eV/atom. Its space group is No. 8. Its density of states at the Fermi level is 0.69 states/eV/atom.